Computed, not measured: crystalline SrFe2TcO6 at its relaxed geometry at the PBE with a Hubbard U level of DFT.

The crystal system is triclinic. For the total energy, the calculation gives -6.94 eV/atom. As for the spin magnetization: 9.01 μB/cell.

The space group is P1 (No. 1) and the conventional cell measures 5.392, 5.543 and 5.724 Å, with angles of 61.83, 87.82 and 61.20 degrees. The distinct sites, in fractional coordinates, are Sr at (0.000, 0.000, 0.000), Fe at (0.274, 0.460, 0.810), Fe at (0.772, 0.465, 0.329), Tc at (0.483, 0.064, 0.412), O at (0.085, 0.481, 0.134), O at (0.224, 0.969, 0.597), O at (0.451, 0.943, 0.147), O at (0.545, 0.269, 0.601), O at (0.602, 0.329, 0.125) and O at (0.851, 0.675, 0.576).